No. 1
Computed, not measured: Dy7HoEr5 after structural relaxation at the PBE level of DFT.

Values from the calculation:
density of states at the Fermi level	24.4	states/eV/f.u.
E_form	0.257	eV per atom
raw total energy	-4.33	eV per atom

```
Dy7HoEr5
1.0
-3.314 5.522 5.714
3.314 -5.522 5.714
3.314 5.522 -5.714
Dy Ho Er
7 1 5
direct
0.000 0.000 0.000
0.000 0.500 0.500
0.079 0.751 0.328
0.307 0.307 0.000
0.423 0.751 0.672
0.578 0.249 0.328
0.921 0.249 0.672
0.692 0.692 0.000
0.273 0.268 0.540
0.273 0.733 0.005
0.500 0.000 0.500
0.728 0.268 0.995
0.728 0.733 0.460
```

***

No. 2
Computed, not measured: Li2HoPaTe4 after structural relaxation at the PBE level of DFT.

Values from the calculation:
density of states at the Fermi level	7.1	states/eV/f.u.
energy relative to the elements, uncorrected	-8.37	eV per formula unit
raw total energy	-4.85	eV per atom

```
Li2HoPaTe4
1.0
7.464 0.000 0.000
0.000 4.250 0.000
-2.439 0.000 7.172
Li Ho Pa Te
2 1 1 4
direct
0.000 0.000 0.000
0.500 0.500 0.000
0.000 0.500 0.500
0.500 0.000 0.500
0.242 0.500 0.238
0.251 0.000 0.758
0.749 0.000 0.242
0.758 0.500 0.762
```

***

No. 3
Computed, not measured: KPmMg2F8 after structural relaxation at the PBE level of DFT.

Values from the calculation:
density of states at the Fermi level	0.0	states/eV/f.u.
energy relative to the elements, uncorrected	-42.85	eV per formula unit
raw total energy	-5.57	eV per atom

```
KPmMg2F8
1.0
-2.739 2.739 5.850
2.739 -2.739 5.850
2.739 2.739 -5.850
K Pm Mg F
1 1 2 8
direct
0.000 0.000 0.000
0.250 0.750 0.500
0.500 0.500 0.000
0.750 0.250 0.500
0.007 0.071 0.433
0.266 0.660 0.113
0.340 0.453 0.606
0.425 0.993 0.064
0.547 0.154 0.887
0.638 0.575 0.567
0.846 0.734 0.394
0.929 0.362 0.936
```

***

No. 4
Computed, not measured: NdY2OsC2 after structural relaxation at the PBE level of DFT.

Values from the calculation:
density of states at the Fermi level	3.7	states/eV/f.u.
E_form	-0.187	eV per atom
raw total energy	-8.08	eV per atom

```
NdY2OsC2
1.0
5.676 0.000 0.000
0.000 11.112 0.000
0.000 0.000 3.804
Nd Y Os C
2 4 2 4
direct
0.000 0.000 0.000
0.500 0.500 0.500
0.030 0.295 0.500
0.470 0.795 0.000
0.530 0.205 0.000
0.970 0.705 0.500
0.000 0.500 0.000
0.500 0.000 0.500
0.247 0.877 0.500
0.253 0.377 0.000
0.747 0.623 0.000
0.753 0.123 0.500
```

***

No. 5
Computed, not measured: CrS after structural relaxation at the PBE level of DFT.

Values from the calculation:
density of states at the Fermi level	1.0	states/eV/f.u.
energy relative to the elements, uncorrected	-0.63	eV per formula unit
raw total energy	-7.19	eV per atom

```
CrS
1.0
-4.749 4.749 1.582
4.749 -4.749 1.582
4.749 4.749 -1.582
Cr S
4 4
direct
0.148 0.709 0.857
0.291 0.148 0.439
0.709 0.852 0.561
0.852 0.291 0.143
0.083 0.252 0.334
0.252 0.917 0.169
0.748 0.083 0.831
0.917 0.748 0.666
```

***

No. 6
Computed, not measured: Rb2TaReBr6 after structural relaxation at the PBE level of DFT.

Values from the calculation:
density of states at the Fermi level	5.7	states/eV/f.u.
energy relative to the elements, uncorrected	-4.20	eV per formula unit
raw total energy	-4.05	eV per atom

```
Rb2TaReBr6
1.0
-3.724 3.724 5.350
3.724 -3.724 5.350
3.724 3.724 -5.350
Rb Ta Re Br
2 1 1 6
direct
0.250 0.750 0.500
0.750 0.250 0.500
0.000 0.000 0.000
0.500 0.500 0.000
0.253 0.253 0.000
0.253 0.253 0.506
0.253 0.747 0.000
0.747 0.253 0.000
0.747 0.747 0.000
0.747 0.747 0.494
```

***

No. 7
Computed, not measured: Cs2Rb5Pb4 after structural relaxation at the PBE level of DFT.

Values from the calculation:
density of states at the Fermi level	8.1	states/eV/f.u.
E_form	-0.054	eV per atom
raw total energy	-2.00	eV per atom

```
Cs2Rb5Pb4
1.0
8.914 -4.134 0.000
8.914 4.134 0.000
-5.784 0.000 9.473
Cs Rb Pb
2 5 4
direct
0.240 0.240 0.101
0.760 0.760 0.899
0.134 0.640 0.597
0.360 0.866 0.403
0.500 0.500 0.000
0.640 0.134 0.597
0.866 0.360 0.403
0.078 0.078 0.670
0.263 0.263 0.740
0.737 0.737 0.260
0.922 0.922 0.330
```

***

No. 8
Computed, not measured: AgPd2PbF8 after structural relaxation at the PBE level of DFT.

Values from the calculation:
density of states at the Fermi level	9.3	states/eV/f.u.
energy relative to the elements, uncorrected	-15.45	eV per formula unit
raw total energy	-3.95	eV per atom

```
AgPd2PbF8
1.0
-3.684 3.684 3.870
3.684 -3.684 3.870
3.684 3.684 -3.870
Ag Pd Pb F
1 2 1 8
direct
0.000 0.000 0.000
0.500 0.500 0.000
0.750 0.250 0.500
0.250 0.750 0.500
0.295 0.116 0.822
0.295 0.473 0.178
0.361 0.045 0.316
0.527 0.705 0.822
0.729 0.045 0.684
0.884 0.705 0.178
0.955 0.271 0.316
0.955 0.639 0.684
```

***

No. 9
Computed, not measured: MnCu6Au2 after structural relaxation at the PBE level of DFT.

Values from the calculation:
density of states at the Fermi level	3.4	states/eV/f.u.
E_form	0.070	eV per atom
raw total energy	-4.41	eV per atom

```
MnCu6Au2
1.0
3.868 -2.499 0.000
3.868 2.499 0.000
-1.743 0.000 6.595
Mn Cu Au
1 6 2
direct
0.000 0.000 0.000
0.217 0.705 0.314
0.247 0.247 0.494
0.295 0.783 0.686
0.705 0.217 0.314
0.753 0.753 0.506
0.783 0.295 0.686
0.320 0.320 0.912
0.680 0.680 0.088
```

***

No. 10
Computed, not measured: ZnCo2Os after structural relaxation at the PBE level of DFT.

Values from the calculation:
density of states at the Fermi level	3.6	states/eV/f.u.
E_form	0.183	eV per atom
raw total energy	-6.50	eV per atom

```
ZnCo2Os
1.0
4.289 0.000 0.000
0.000 4.289 0.000
0.000 0.000 2.713
Zn Co Os
1 2 1
direct
0.000 0.000 0.000
0.000 0.500 0.500
0.500 0.000 0.500
0.500 0.500 0.000
```

***

No. 11
Computed, not measured: La2HoCo after structural relaxation at the PBE level of DFT.

Values from the calculation:
density of states at the Fermi level	5.7	states/eV/f.u.
E_form	0.036	eV per atom
raw total energy	-5.35	eV per atom

```
La2HoCo
1.0
1.945 1.123 9.244
-1.945 1.123 9.244
0.000 -2.246 9.244
La Ho Co
2 1 1
direct
0.000 0.000 0.000
0.218 0.218 0.218
0.443 0.443 0.443
0.608 0.608 0.608
```

***

- What is the formula in the eleventh record?
  La2HoCo